14
Lattice="3.942 2.276 7.981 -3.942 2.276 7.981 0.000 -4.552 7.981" Properties=species:S:1:pos:R:3 comment="Rb2Li3SnCl8 | the Alexandria database | PBE-GGA | relaxed" space_group="R3m, No. 160" e_tot_ev_per_cell=-47.8 density_g_cm3=2.30 crystal_system=trigonal pbc="T T T"
Rb 0.000 0.000 0.000
Rb 0.000 0.000 8.477
Li 0.000 -1.862 3.856
Li -1.613 0.931 3.856
Li 1.613 0.931 3.856
Sn 0.000 0.000 12.919
Cl -2.249 -1.298 13.023
Cl 0.000 0.000 5.379
Cl 0.000 -2.399 10.486
Cl -2.077 1.199 10.486
Cl 0.000 0.000 15.405
Cl 2.249 -1.298 13.023
Cl 0.000 2.597 13.023
Cl 2.077 1.199 10.486

6
Lattice="0.000 3.946 3.946 3.946 0.000 3.946 3.946 3.946 0.000" Properties=species:S:1:pos:R:3 comment="Zr4TcAu | the Alexandria database | PBE-GGA | relaxed" space_group="F-43m, No. 216" density_g_cm3=8.92 polymorph_energy_mev_per_atom=767 crystal_system=cubic pbc="T T T"
Zr 2.969 2.969 2.969
Zr 4.923 4.923 2.969
Zr 4.923 2.969 4.923
Zr 2.969 4.923 4.923
Tc 5.919 5.919 5.919
Au 0.000 0.000 0.000

5
Lattice="6.209 0.000 0.000 0.000 6.209 0.000 0.000 0.000 6.940" Properties=species:S:1:pos:R:3 comment="BaPdIBr2 | the Alexandria database | PBE-GGA | relaxed" space_group="P4/mmm, No. 123" e_tot_ev_per_cell=-14.5 density_g_cm3=3.29 crystal_system=tetragonal pbc="T T T"
Ba 0.000 0.000 0.000
Pd 3.104 3.104 3.470
I 0.000 0.000 3.470
Br 0.000 3.104 0.000
Br 3.104 0.000 0.000

16
Lattice="8.412 0.000 0.000 0.000 6.119 0.000 -0.635 0.000 6.682" Properties=species:S:1:pos:R:3 comment="Ce2GaCo | the Alexandria database | PBE-GGA | relaxed" space_group="P2_1/c, No. 14" e_tot_ev_per_cell=-93.5 density_g_cm3=7.90 crystal_system=monoclinic pbc="T T T"
Ce 0.601 0.744 2.055
Ce 0.284 2.315 5.396
Ce 2.817 3.793 0.837
Ce 2.499 5.385 4.178
Ce 5.278 0.734 2.504
Ce 4.960 2.326 5.845
Ce 7.493 3.804 1.286
Ce 7.176 5.374 4.627
Ga 3.099 0.719 0.316
Ga 2.782 2.341 3.657
Ga 4.995 3.778 3.025
Ga 4.678 5.400 6.366
Co 0.778 3.795 2.895
Co 0.460 5.383 6.236
Co 7.316 0.736 0.445
Co 6.999 2.323 3.786

16
Lattice="5.610 0.000 0.000 0.000 5.610 0.000 0.000 0.000 22.336" Properties=species:S:1:pos:R:3 comment="NaSr3Ca12 | the Alexandria database | PBE-GGA | relaxed" space_group="P4/mmm, No. 123" e_tot_ev_per_cell=-29.9 density_g_cm3=1.81 crystal_system=tetragonal pbc="T T T"
Na 0.000 0.000 0.000
Sr 0.000 0.000 5.512
Sr 0.000 0.000 11.168
Sr 0.000 0.000 16.824
Ca 0.000 2.805 2.650
Ca 0.000 2.805 8.329
Ca 0.000 2.805 14.007
Ca 0.000 2.805 19.686
Ca 2.805 0.000 2.650
Ca 2.805 0.000 8.329
Ca 2.805 0.000 14.007
Ca 2.805 0.000 19.686
Ca 2.805 2.805 0.000
Ca 2.805 2.805 5.455
Ca 2.805 2.805 11.168
Ca 2.805 2.805 16.881

12
Lattice="9.303 -2.137 0.000 9.303 2.137 0.000 -1.886 0.000 8.394" Properties=species:S:1:pos:R:3 comment="Pm6Ge2TeSe3 | the Alexandria database | PBE-GGA | relaxed" space_group="C2/m, No. 12" e_tot_ev_per_cell=-69.4 density_g_cm3=6.87 crystal_system=monoclinic pbc="T T T"
Pm -0.393 0.000 2.259
Pm 4.396 0.000 7.545
Pm 5.357 0.000 3.537
Pm 11.362 0.000 4.857
Pm 12.324 0.000 0.849
Pm 17.113 0.000 6.135
Ge 2.479 0.000 2.809
Ge 14.241 0.000 5.585
Te 9.303 0.000 0.000
Se 1.464 0.000 7.015
Se 8.360 0.000 4.197
Se 15.255 0.000 1.379

10
Lattice="7.112 0.000 0.000 0.000 7.112 0.000 0.000 0.000 3.168" Properties=species:S:1:pos:R:3 comment="Zn2CdRu2 | the Alexandria database | PBE-GGA | relaxed" space_group="P4/mbm, No. 127" density_g_cm3=9.23 polymorph_energy_mev_per_atom=0 crystal_system=tetragonal pbc="T T T"
Zn 1.214 2.342 0.000
Zn 2.342 5.898 0.000
Zn 4.770 1.214 0.000
Zn 5.898 4.770 0.000
Cd 0.000 0.000 1.584
Cd 3.556 3.556 1.584
Ru 0.883 4.439 1.584
Ru 2.673 0.883 1.584
Ru 4.439 6.229 1.584
Ru 6.229 2.673 1.584

6
Lattice="4.040 0.000 0.000 -2.020 3.499 0.000 0.000 0.000 7.084" Properties=species:S:1:pos:R:3 comment="Eu2H3Br | the Alexandria database | PBE-GGA | relaxed" space_group="P-3m1, No. 164" e_tot_ev_per_cell=-38.1 density_g_cm3=6.41 crystal_system=trigonal pbc="T T T"
Eu 0.000 2.333 2.196
Eu 2.020 1.166 4.888
H 0.000 0.000 3.542
H 0.000 2.333 4.575
H 2.020 1.166 2.508
Br 0.000 0.000 0.000

10
Lattice="6.969 0.000 0.000 0.000 6.969 0.000 0.000 0.000 2.573" Properties=species:S:1:pos:R:3 comment="Cr2Fe2Ag | the Alexandria database | PBE-GGA | relaxed" space_group="P4/mbm, No. 127" density_g_cm3=8.60 polymorph_energy_mev_per_atom=68 crystal_system=tetragonal pbc="T T T"
Cr 0.845 2.640 0.000
Cr 2.640 6.124 0.000
Cr 4.329 0.845 0.000
Cr 6.124 4.329 0.000
Fe 1.163 4.648 1.287
Fe 2.321 1.163 1.287
Fe 4.648 5.806 1.287
Fe 5.806 2.321 1.287
Ag 0.000 0.000 0.000
Ag 3.484 3.484 0.000

12
Lattice="-4.341 4.341 5.640 4.341 -4.341 5.640 4.341 4.341 -5.640" Properties=species:S:1:pos:R:3 comment="Pr3Ho8Tl | the Alexandria database | PBE-GGA | relaxed" space_group="I-42m, No. 121" e_tot_ev_per_cell=-47.2 density_g_cm3=7.60 crystal_system=tetragonal pbc="T T T"
Pr 0.000 0.000 0.000
Pr 4.341 0.000 2.820
Pr 0.000 4.341 2.820
Ho 1.100 -1.100 2.779
Ho 2.184 -2.184 5.483
Ho 2.158 2.158 0.157
Ho -1.100 1.100 2.779
Ho 3.241 3.241 2.861
Ho -2.184 2.184 5.483
Ho 2.184 2.184 5.797
Ho 1.100 1.100 8.502
Tl 0.000 0.000 5.640

8
Lattice="9.638 0.000 0.000 0.000 3.039 0.000 -1.427 0.000 4.556" Properties=species:S:1:pos:R:3 comment="SbMo2Os | the Alexandria database | PBE-GGA | relaxed" space_group="Cm, No. 8" e_tot_ev_per_cell=-71.6 density_g_cm3=12.54 crystal_system=monoclinic pbc="T T T"
Sb 0.000 0.000 0.000
Sb 4.819 1.520 0.000
Mo 1.218 0.000 3.732
Mo 3.920 0.000 2.164
Mo 6.037 1.520 3.732
Mo 8.739 1.520 2.164
Os 1.861 1.520 1.534
Os 6.680 0.000 1.534

5
Lattice="5.082 0.000 0.000 0.000 5.082 0.000 0.000 0.000 5.077" Properties=species:S:1:pos:R:3 comment="CdHgS2Cl | the Alexandria database | PBE-GGA | relaxed" space_group="P4/mmm, No. 123" density_g_cm3=5.22 polymorph_energy_mev_per_atom=0 crystal_system=tetragonal pbc="T T T"
Cd 0.000 0.000 0.000
Hg 2.541 2.541 2.538
S 0.000 2.541 0.000
S 2.541 0.000 0.000
Cl 0.000 0.000 2.538

6
Lattice="3.032 0.000 0.000 0.000 3.032 0.000 0.000 0.000 11.483" Properties=species:S:1:pos:R:3 comment="ZrZn2 | the Alexandria database | PBE-GGA | relaxed" space_group="P4/nmm, No. 129" e_tot_ev_per_cell=-22.9 density_g_cm3=6.99 crystal_system=tetragonal pbc="T T T"
Zr 0.758 0.758 1.197
Zr 2.274 2.274 10.286
Zn 0.758 0.758 4.906
Zn 0.758 0.758 8.207
Zn 2.274 2.274 3.275
Zn 2.274 2.274 6.577